Density functional theory data (GGA-PBE) for an optimized crystal structure of HgOs2Ru.

Calculated values
Space group: No. 160
Calculated volume in Å³ per atom: 15.75
Formation enthalpy at 0 K in eV/f.u.: 1.7

a = 9.4507 Å, b = 9.4507 Å, c = 9.4507 Å
α = 17.01°, β = 17.01°, γ = 17.01°
With the nearest neighbours (Å) after each atom.
Element x y z (fractional)
Hg (0.0000, 0.0000, 0.0000)  6 Hg 2.80, 3 Ru 2.98, 3 Os 3.04
Os (0.5012, 0.5012, 0.5012)  9 Os 2.66-2.80, 3 Ru 2.66
Os (0.7587, 0.7587, 0.7587)  9 Os 2.66-2.80
Ru (0.2437, 0.2437, 0.2437)  3 Os 2.66, 6 Ru 2.80, 3 Hg 2.98